1.
Entry from the Alexandria database: a relaxed structure of K4HgF2 (GGA-PBE).

abc: 6.2571 6.2571 8.8908
angles: 69.40 69.40 90.00
Fractional coordinates of all 7 atoms:
K: 0.7470 0.7470 0.5061
K: 0.2530 0.2530 0.4939
K: 0.0000 0.5000 0.0000
K: 0.5000 0.0000 0.0000
Hg: 0.0000 0.0000 0.0000
F: 0.5956 0.5956 0.8088
F: 0.4044 0.4044 0.1912

Computed properties:
Space-group type: No. 139
Formation energy (no corrections) (eV per atom): -1.1762
Energy (eV per cell): -16.67
N(E_F) (states/eV per atom): 0.533



2.
Entry from the Alexandria database: a relaxed structure of KHgF3 (GGA-PBE).

abc: 4.7276 4.7276 4.7276
angles: 90.00 90.00 90.00
Fractional coordinates of all 5 atoms:
K: 0.0000 0.0000 0.0000
Hg: 0.5000 0.5000 0.5000
F: 0.0000 0.5000 0.0000
F: 0.0000 0.0000 0.5000
F: 0.5000 0.0000 0.0000

Computed properties:
Space-group type: No. 221
Formation energy (no corrections) (eV per atom): -1.1342
Energy (eV per cell): -12.68
N(E_F) (states/eV per atom): 0.634



3.
Entry from the Alexandria database: a relaxed structure of KHgF3 (GGA-PBE).

abc: 4.5053 4.5053 10.3576
angles: 77.44 77.44 90.00
Fractional coordinates of all 10 atoms:
K: 0.0000 0.0000 0.0000
K: 0.2500 0.7500 0.5000
Hg: 0.6452 0.1452 0.7097
Hg: 0.8548 0.3548 0.2903
F: 0.1345 0.8838 0.2324
F: 0.1162 0.8655 0.7676
F: 0.1162 0.3669 0.7676
F: 0.6331 0.8838 0.2324
F: 0.3085 0.3085 0.3831
F: 0.6915 0.6915 0.6169

Computed properties:
Space-group type: No. 119
Formation energy (no corrections) (eV per atom): -1.5027
Energy (eV per cell): -29.05
N(E_F) (states/eV per atom): 0.204



4.
Entry from the Alexandria database: a relaxed structure of K2HgF6 (GGA-PBE).

abc: 6.1137 6.1344 8.6163
angles: 90.00 90.25 90.00
Fractional coordinates of all 18 atoms:
K: 0.9987 0.5000 0.7493
K: 0.5013 0.0000 0.7506
K: 0.4987 0.0000 0.2494
K: 0.0013 0.5000 0.2507
Hg: 0.5000 0.5000 0.0000
Hg: 0.0000 0.0000 0.5000
F: 0.0003 0.0000 0.2549
F: 0.7563 0.7556 0.4997
F: 0.7445 0.7435 0.0002
F: 0.7555 0.2435 0.4998
F: 0.7437 0.2556 0.0003
F: 0.4997 0.5000 0.2451
F: 0.9997 0.0000 0.7451
F: 0.2437 0.2444 0.5003
F: 0.2555 0.2565 0.9998
F: 0.2445 0.7565 0.5002
F: 0.2563 0.7444 0.9997
F: 0.5003 0.5000 0.7549

Computed properties:
Space-group type: No. 12
Formation energy (no corrections) (eV per atom): -1.7867
Energy above the most stable polymorph in this dataset (eV/atom): 0.021
Energy (eV per cell): -59.61
N(E_F) (states/eV per atom): 0.093



5.
Entry from the Alexandria database: a relaxed structure of KHgF3 (GGA-PBE).

abc: 3.5984 6.8670 6.8670
angles: 119.05 90.00 90.00
Fractional coordinates of all 5 atoms:
K: 0.5000 0.0804 0.9196
Hg: 0.0000 0.4127 0.5873
F: 0.5000 0.2546 0.3447
F: 0.5000 0.6553 0.7454
F: 0.0000 0.2250 0.7750

Computed properties:
Space-group type: No. 38
Formation energy (no corrections) (eV per atom): -1.8918
Energy (eV per cell): -16.47
N(E_F) (states/eV per atom): 0.000



6.
Entry from the Alexandria database: a relaxed structure of K4HgF7 (GGA-PBE).

abc: 4.9961 8.1643 6.6676
angles: 70.54 68.00 72.18
Fractional coordinates of all 12 atoms:
K: 0.6026 0.2166 0.5782
K: 0.3974 0.7834 0.4218
K: 0.7743 0.6227 0.8287
K: 0.2257 0.3773 0.1713
Hg: 0.0000 0.0000 0.0000
F: 0.8729 0.8796 0.3745
F: 0.1271 0.1204 0.6255
F: 0.1646 0.7527 0.9181
F: 0.8354 0.2473 0.0819
F: 0.3814 0.4903 0.7470
F: 0.5000 0.0000 0.0000
F: 0.6186 0.5097 0.2530

Computed properties:
Space-group type: No. 12
Formation energy (no corrections) (eV per atom): -2.2152
Energy (eV per cell): -44.37
N(E_F) (states/eV per atom): 0.182



7.
Entry from the Alexandria database: a relaxed structure of K5Hg2F12 (GGA-PBE).

abc: 6.8197 7.6892 7.6863
angles: 74.99 67.21 84.89
Fractional coordinates of all 19 atoms:
K: 0.9918 0.2101 0.3117
K: 0.5084 0.4285 0.2660
K: 0.5000 0.0000 0.0000
K: 0.4916 0.5715 0.7340
K: 0.0082 0.7899 0.6883
Hg: 0.9675 0.7490 0.2126
Hg: 0.0325 0.2510 0.7874
F: 0.8177 0.1138 0.0854
F: 0.2514 0.1419 0.5393
F: 0.2138 0.5367 0.1188
F: 0.8159 0.1508 0.6954
F: 0.7500 0.7315 0.0782
F: 0.7811 0.4982 0.4151
F: 0.2189 0.5018 0.5849
F: 0.1841 0.8492 0.3046
F: 0.2500 0.2685 0.9218
F: 0.7486 0.8581 0.4607
F: 0.7862 0.4633 0.8812
F: 0.1823 0.8862 0.9146

Computed properties:
Space-group type: No. 2
Formation energy (no corrections) (eV per atom): -1.9405
Energy (eV per cell): -65.42
N(E_F) (states/eV per atom): 0.351



8.
Entry from the Alexandria database: a relaxed structure of KHgF4 (GGA-PBE).

abc: 7.0166 7.0166 6.6816
angles: 82.23 82.23 40.31
Fractional coordinates of all 12 atoms:
K: 0.0000 0.5000 0.5000
K: 0.5000 0.0000 0.0000
Hg: 0.2500 0.7500 0.7500
Hg: 0.7500 0.2500 0.2500
F: 0.5898 0.0897 0.3417
F: 0.2103 0.7103 0.4535
F: 0.7897 0.2897 0.5465
F: 0.0897 0.5898 0.8417
F: 0.9103 0.4102 0.1583
F: 0.2897 0.7897 0.0465
F: 0.7103 0.2103 0.9535
F: 0.4102 0.9103 0.6583

Computed properties:
Space-group type: No. 12
Formation energy (no corrections) (eV per atom): -1.7486
Energy above the most stable polymorph in this dataset (eV/atom): 0.008
Energy (eV per cell): -38.75
N(E_F) (states/eV per atom): 0.099